Computed, not measured: Tl2GaBi2 after structural relaxation at the PBEsol level of DFT.

```
10
Lattice="7.596 0.000 0.000 0.000 7.596 0.000 0.000 0.000 5.285" Properties=species:S:1:pos:R:3 pbc="T T T"
Tl 1.267 2.532 0.000
Tl 2.532 6.330 0.000
Tl 5.065 1.267 0.000
Tl 6.330 5.065 0.000
Ga 0.000 0.000 2.643
Ga 3.798 3.798 2.643
Bi 1.103 4.901 2.643
Bi 2.696 1.103 2.643
Bi 4.901 6.494 2.643
Bi 6.494 2.696 2.643
```

Summary:
Energy of formation, eV/atom: 0.091
SG: P4/mbm



Computed, not measured: Li2MnCr3O8 after structural relaxation at the PBEsol level of DFT.

```
14
Lattice="2.891 1.669 4.702 -2.891 1.669 4.702 0.000 -3.339 4.702" Properties=species:S:1:pos:R:3 pbc="T T T"
Li 0.000 0.000 1.789
Li 0.000 0.000 12.316
Mn 0.000 0.000 7.052
Cr -1.446 -0.835 4.702
Cr -1.446 0.835 9.403
Cr 0.000 1.669 4.702
O 0.000 0.000 3.718
O 0.000 -1.488 5.846
O -1.288 0.744 5.846
O -1.288 -0.744 8.259
O 1.288 0.744 5.846
O 1.288 -0.744 8.259
O 0.000 1.488 8.259
O 0.000 0.000 10.387
```

Summary:
E above lowest polymorph, meV per atom: 0
SG: R-3m
Formation energy without anion corrections, kcal/mol of atoms: -45.62



Computed, not measured: LiP2RhO after structural relaxation at the PBEsol level of DFT.

```
5
Lattice="4.785 0.000 0.000 0.000 4.785 0.000 0.000 0.000 3.638" Properties=species:S:1:pos:R:3 pbc="T T T"
Li 0.000 0.000 0.000
P 0.000 2.393 1.819
P 2.393 0.000 1.819
Rh 2.393 2.393 1.819
O 2.393 2.393 0.000
```

Summary:
E above lowest polymorph, meV per atom: 0
SG: P4/mmm
Formation energy without anion corrections, kcal/mol of atoms: 2.46



Computed, not measured: CaTlAuI2 after structural relaxation at the PBEsol level of DFT.

```
5
Lattice="5.946 0.000 0.000 0.000 5.946 0.000 0.000 0.000 5.517" Properties=species:S:1:pos:R:3 pbc="T T T"
Ca 0.000 0.000 0.000
Tl 2.973 2.973 2.758
Au 0.000 0.000 2.758
I 0.000 2.973 0.000
I 2.973 0.000 0.000
```

Summary:
SG: P4/mmm
Formation energy without anion corrections, kcal/mol of atoms: -12.72



The records above give, respectively, total moment values of 0.0 11.0 0.0 0.0 Bohr magnetons per cell.